# PBE-GGA CaIn2Mo, relaxed
# Volume, Å³ per cell: 172
# Energy relative to the lowest polymorph listed for this composition, meV/atom: 151.2
data_CaIn2Mo
_chemical_formula_sum 'Ca2 In4 Mo2'
_cell_length_a 6.171
_cell_length_b 9.041
_cell_length_c 3.081
_cell_angle_alpha 90.00
_cell_angle_beta 90.00
_cell_angle_gamma 90.00
_space_group_name_H-M_alt 'C m m m'
_space_group_IT_number 65
_space_group_name_Hall '-C 2 2'
loop_
_atom_site_label
_atom_site_type_symbol
_atom_site_fract_x
_atom_site_fract_y
_atom_site_fract_z
Ca1 Ca 0.000 0.000 0.000
In1 In 0.250 0.250 0.500
Mo1 Mo 0.000 0.500 0.000